(1)
5
Lattice="5.4289 0.0000 0.0000 0.0000 5.4289 0.0000 0.0000 0.0000 5.4289" Properties=species:S:1:pos:R:3 comment="PBE-GGA Y3ScW, relaxed" n_ef_per_ev_atom=1.43 sg="Pm-3m, No. 221" pbc="T T T"
Y 0.0000 0.0000 2.7145
Y 0.0000 2.7145 0.0000
Y 2.7145 0.0000 0.0000
Sc 2.7145 2.7145 2.7145
W 0.0000 0.0000 0.0000



(2)
5
Lattice="5.1951 0.0000 0.0000 0.0000 5.1951 0.0000 0.0000 0.0000 5.1951" Properties=species:S:1:pos:R:3 comment="PBE-GGA Y3ScW, relaxed" n_ef_per_ev_atom=1.85 sg="Pm-3m, No. 221" pbc="T T T"
Y 0.0000 0.0000 2.5976
Y 0.0000 2.5976 0.0000
Y 2.5976 0.0000 0.0000
Sc 0.0000 0.0000 0.0000
W 2.5976 2.5976 2.5976



Which structure is the most stable? The one labeled (1).



(1)
4
Lattice="4.7795 -1.4129 0.0000 4.7795 1.4129 0.0000 -0.8082 0.0000 5.0282" Properties=species:S:1:pos:R:3 comment="PBE-GGA ScZn2W, relaxed" n_ef_per_ev_atom=0.78 sg="C2/m, No. 12" pbc="T T T"
Sc 0.0000 0.0000 0.0000
Zn 1.7494 0.0000 3.6349
Zn 7.0015 0.0000 1.3933
W 4.3754 0.0000 2.5141



(2)
8
Lattice="-1.9650 1.9650 9.6440 1.9650 -1.9650 9.6440 1.9650 1.9650 -9.6440" Properties=species:S:1:pos:R:3 comment="PBE-GGA ScZn2W, relaxed" n_ef_per_ev_atom=1.12 sg="I-42d, No. 122" pbc="T T T"
Sc 0.0000 0.0000 0.0000
Sc 0.0000 1.9650 4.8220
Zn 0.9825 -0.8082 7.2330
Zn 1.1568 0.9825 2.4110
Zn 0.9825 2.7732 -2.4110
Zn 0.8082 0.9825 12.0550
W 1.9650 0.0000 4.8220
W 0.0000 0.0000 9.6440



(3)
4
Lattice="3.3887 0.0000 0.0000 0.0000 3.3887 0.0000 0.0000 0.0000 5.7253" Properties=species:S:1:pos:R:3 comment="PBE-GGA ScZn2W, relaxed" n_ef_per_ev_atom=0.85 sg="P4/mmm, No. 123" pbc="T T T"
Sc 0.0000 0.0000 0.0000
Zn 1.6943 1.6943 1.5595
Zn 1.6943 1.6943 4.1659
W 0.0000 0.0000 2.8627



(4)
4
Lattice="-1.9431 1.9431 4.3471 1.9431 -1.9431 4.3471 1.9431 1.9431 -4.3471" Properties=species:S:1:pos:R:3 comment="PBE-GGA ScZn2W, relaxed" n_ef_per_ev_atom=0.70 sg="I-4m2, No. 119" pbc="T T T"
Sc 0.0000 0.0000 0.0000
Zn 0.0000 0.0000 4.3471
Zn 0.0000 1.9431 2.1735
W 1.9431 0.0000 2.1735



Which structure is the most stable? The one labeled (3).



(1)
4
Lattice="0.0000 3.2376 3.2376 3.2376 0.0000 3.2376 3.2376 3.2376 0.0000" Properties=species:S:1:pos:R:3 comment="PBE-GGA ScZn2W, relaxed" n_ef_per_ev_atom=1.44 sg="F-43m, No. 216" pbc="T T T"
Sc 0.0000 0.0000 0.0000
Zn 3.2376 3.2376 3.2376
Zn 4.8564 4.8564 4.8564
W 1.6188 1.6188 1.6188



(2)
4
Lattice="2.8310 -3.9805 0.0000 2.8310 3.9805 0.0000 0.0000 0.0000 2.8616" Properties=species:S:1:pos:R:3 comment="PBE-GGA ScZn2W, relaxed" n_ef_per_ev_atom=0.55 sg="Cmmm, No. 65" pbc="T T T"
Sc 0.0000 0.0000 0.0000
Zn 1.4155 1.9903 1.4308
Zn 1.4155 -1.9903 1.4308
W 2.8310 0.0000 0.0000



(3)
4
Lattice="1.4502 0.8373 9.3211 -1.4502 0.8373 9.3211 0.0000 -1.6745 9.3211" Properties=species:S:1:pos:R:3 comment="PBE-GGA ScZn2W, relaxed" n_ef_per_ev_atom=1.19 sg="R-3m, No. 166" pbc="T T T"
Sc 0.0000 0.0000 0.0000
Zn 0.0000 0.0000 6.8888
Zn 0.0000 0.0000 21.0745
W 0.0000 0.0000 13.9816



(4)
4
Lattice="5.2143 -1.4610 0.0000 5.2143 1.4610 0.0000 -2.1518 0.0000 4.3088" Properties=species:S:1:pos:R:3 comment="PBE-GGA ScZn2W, relaxed" n_ef_per_ev_atom=0.56 sg="Cm, No. 8" pbc="T T T"
Sc 0.0000 0.0000 0.0000
Zn 4.1071 0.0000 2.0554
Zn 7.1928 0.0000 1.5151
W 0.7236 0.0000 3.5701



Which structure is the most stable? The one labeled (2).